DFT (PBE) results for Np3Tl3NiS8 after structural relaxation.

abc: 13.4501 7.7723 8.8576
angles: 90.00 120.37 90.00
Closest atoms and distances in Å follow each position.
Space group C2/m (No. 12)
Asymmetric unit:
Np: 0.0000 0.0000 0.0000 (multiplicity 2)  6 S 2.69-2.71
Np: 0.2500 0.2500 0.0000 (multiplicity 4)  6 S 2.69-2.71
Tl: 0.0000 0.5000 0.5000 (multiplicity 2)  6 S 3.21-3.27
Tl: 0.2500 0.2500 0.5000 (multiplicity 4)  6 S 3.21-3.27
Ni: 0.0000 0.5000 0.0000 (multiplicity 2)  6 S 2.53-2.55
S: 0.0182 0.2621 0.8169 (multiplicity 8)  1 Ni 2.55, 2 Np 2.69
S: 0.2181 0.5000 0.1819 (multiplicity 4)  1 Ni 2.53, 2 Np 2.69
S: 0.2329 0.0000 0.1986 (multiplicity 4)  3 Np 2.71

- Raw formation energy: -843 meV/atom
- Crystal system: monoclinic
- Size of the total moment: 0.757 μB per atom